Computed, not measured: an optimized crystal structure of Ac3GaOs at the PBE-GGA level of DFT.

Unit cell a=8.201 b=8.201 c=11.848 alpha=120.48 beta=120.48 gamma=31.40
Element x y z (fractional)
Ac  0.124  0.124  0.175
Ac  0.160  0.160  0.818
Ac  0.370  0.370  0.531
Ac  0.630  0.630  0.469
Ac  0.840  0.840  0.182
Ac  0.876  0.876  0.825
Ga  0.433  0.433  0.074
Ga  0.567  0.567  0.926
Os  0.243  0.243  0.656
Os  0.757  0.757  0.344

Properties
- VASP energy (eV/atom) = -5.44
- formation energy (eV/atom) = -0.123
- DOS at the Fermi energy (states/eV/cell) = 7.7

***

Computed, not measured: an optimized crystal structure of Ac3GaOs at the PBE-GGA level of DFT.

Unit cell a=5.748 b=5.748 c=5.748 alpha=90.00 beta=90.00 gamma=90.00
Element x y z (fractional)
Ac  0.000  0.000  0.500
Ac  0.000  0.500  0.000
Ac  0.500  0.000  0.000
Ga  0.500  0.500  0.500
Os  0.000  0.000  0.000

Properties
- VASP energy (eV/atom) = -5.29
- formation energy (eV/atom) = 0.022
- DOS at the Fermi energy (states/eV/cell) = 4.5

***

Computed, not measured: an optimized crystal structure of Ac2GaOs at the PBE-GGA level of DFT.

Unit cell a=6.513 b=6.513 c=6.513 alpha=139.45 beta=135.05 gamma=62.12
Element x y z (fractional)
Ac  0.165  0.165  0.000
Ac  0.835  0.835  0.000
Ga  0.500  0.500  0.000
Os  0.000  0.500  0.500

Properties
- VASP energy (eV/atom) = -5.79
- formation energy (eV/atom) = -0.168
- DOS at the Fermi energy (states/eV/cell) = 2.4

***

Computed, not measured: an optimized crystal structure of Ac2GaOs at the PBE-GGA level of DFT.

Unit cell a=5.361 b=5.361 c=3.800 alpha=90.00 beta=90.00 gamma=90.00
Element x y z (fractional)
Ac  0.000  0.500  0.000
Ac  0.500  0.000  0.000
Ga  0.000  0.000  0.500
Os  0.500  0.500  0.500

Properties
- VASP energy (eV/atom) = -5.60
- formation energy (eV/atom) = 0.020
- DOS at the Fermi energy (states/eV/cell) = 2.9

***

Computed, not measured: an optimized crystal structure of Ac2GaOs at the PBE-GGA level of DFT.

Unit cell a=4.413 b=4.413 c=8.044 alpha=106.12 beta=106.12 gamma=60.41
Element x y z (fractional)
Ac  0.000  0.000  0.000
Ac  0.175  0.175  0.519
Ga  0.753  0.753  0.260
Os  0.418  0.418  0.259

Properties
- VASP energy (eV/atom) = -5.84
- formation energy (eV/atom) = -0.225
- DOS at the Fermi energy (states/eV/cell) = 4.5

***

Computed, not measured: an optimized crystal structure of AcPmGaOs at the PBE-GGA level of DFT.

Unit cell a=5.220 b=5.220 c=5.220 alpha=60.00 beta=60.00 gamma=60.00
Element x y z (fractional)
Ac  0.000  0.000  0.000
Pm  0.500  0.500  0.500
Ga  0.750  0.750  0.750
Os  0.250  0.250  0.250

Properties
- VASP energy (eV/atom) = -5.86
- formation energy (eV/atom) = -0.081
- DOS at the Fermi energy (states/eV/cell) = 2.0

***

Computed, not measured: an optimized crystal structure of AcPrGaOs at the PBE-GGA level of DFT.

Unit cell a=5.256 b=5.256 c=5.256 alpha=60.00 beta=60.00 gamma=60.00
Element x y z (fractional)
Ac  0.000  0.000  0.000
Pr  0.500  0.500  0.500
Ga  0.750  0.750  0.750
Os  0.250  0.250  0.250

Properties
- VASP energy (eV/atom) = -5.84
- formation energy (eV/atom) = -0.056
- DOS at the Fermi energy (states/eV/cell) = 2.1

***

Computed, not measured: an optimized crystal structure of Ac2Ga6OsRh at the PBE-GGA level of DFT.

Unit cell a=6.521 b=6.521 c=7.043 alpha=117.56 beta=117.56 gamma=60.03
Element x y z (fractional)
Ac  0.212  0.212  0.137
Ac  0.788  0.788  0.863
Ga  0.252  0.252  0.675
Ga  0.253  0.671  0.675
Ga  0.329  0.747  0.325
Ga  0.671  0.253  0.675
Ga  0.747  0.329  0.325
Ga  0.748  0.748  0.325
Os  0.500  0.500  0.000
Rh  0.000  0.000  0.500

Properties
- VASP energy (eV/atom) = -4.95
- formation energy (eV/atom) = -0.455
- DOS at the Fermi energy (states/eV/cell) = 4.2